Record 1
The following is a GGA-PBEsol calculation of a relaxed ZnSeO3 crystal, from Alexandria.

Magnetization (μB per cell): 0.00
Mass density (Mg/m³): 4.76
SG: No. 61
E_tot (eV/cell): -212.86

a b c (Å): 6.190 11.980 7.238
angles (deg): 90.00 90.00 90.00
Positions (direct):
Zn 0.136 0.095 0.108
Zn 0.136 0.405 0.608
Zn 0.364 0.595 0.108
Zn 0.364 0.905 0.608
Zn 0.636 0.095 0.392
Zn 0.636 0.405 0.892
Zn 0.864 0.595 0.392
Zn 0.864 0.905 0.892
Se 0.109 0.144 0.545
Se 0.109 0.356 0.045
Se 0.391 0.644 0.545
Se 0.391 0.856 0.045
Se 0.609 0.144 0.955
Se 0.609 0.356 0.455
Se 0.891 0.644 0.955
Se 0.891 0.856 0.455
O 0.019 0.591 0.154
O 0.019 0.909 0.654
O 0.155 0.567 0.534
O 0.155 0.933 0.034
O 0.204 0.231 0.962
O 0.204 0.269 0.462
O 0.296 0.731 0.962
O 0.296 0.769 0.462
O 0.345 0.067 0.534
O 0.345 0.433 0.034
O 0.481 0.091 0.154
O 0.481 0.409 0.654
O 0.519 0.591 0.346
O 0.519 0.909 0.846
O 0.655 0.567 0.966
O 0.655 0.933 0.466
O 0.704 0.231 0.538
O 0.704 0.269 0.038
O 0.796 0.731 0.538
O 0.796 0.769 0.038
O 0.845 0.067 0.966
O 0.845 0.433 0.466
O 0.981 0.091 0.346
O 0.981 0.409 0.846

Record 2
The following is a GGA-PBEsol calculation of a relaxed Sc3TlZn crystal, from Alexandria.

Magnetization (μB per cell): 0.00
Mass density (Mg/m³): 5.50
ΔH_f (0 K) (eV/atom): 0.11
SG: No. 221
E_tot (eV/cell): -23.49

a b c (Å): 4.961 4.961 4.961
angles (deg): 90.00 90.00 90.00
Positions (direct):
Sc 0.000 0.000 0.500
Sc 0.000 0.500 0.000
Sc 0.500 0.000 0.000
Tl 0.500 0.500 0.500
Zn 0.000 0.000 0.000

Record 3
The following is a GGA-PBEsol calculation of a relaxed Zr2FeP crystal, from Alexandria.

Magnetization (μB per cell): 0.03
Mass density (Mg/m³): 6.97
ΔH_f (0 K) (eV/atom): -0.90
SG: No. 38
E_tot (eV/cell): -73.06

a b c (Å): 3.695 3.578 9.710
angles (deg): 90.00 90.00 90.00
Positions (direct):
Zr 0.000 0.000 0.000
Zr 0.000 0.500 0.500
Zr 0.500 0.000 0.286
Zr 0.500 0.500 0.786
Fe 0.000 0.000 0.722
Fe 0.000 0.500 0.222
P 0.500 0.000 0.573
P 0.500 0.500 0.073

Record 4
The following is a GGA-PBEsol calculation of a relaxed BaSiSb4 crystal, from Alexandria.

Magnetization (μB per cell): 0.00
Mass density (Mg/m³): 6.29
SG: No. 216
E_tot (eV/cell): -25.91

a b c (Å): 6.247 6.247 6.247
angles (deg): 60.00 60.00 60.00
Positions (direct):
Ba 0.000 0.000 0.000
Si 0.750 0.750 0.750
Sb 0.377 0.377 0.377
Sb 0.377 0.377 0.869
Sb 0.377 0.869 0.377
Sb 0.869 0.377 0.377

Record 5
The following is a GGA-PBEsol calculation of a relaxed YLuHg2 crystal, from Alexandria.

Magnetization (μB per cell): 0.00
Mass density (Mg/m³): 11.61
ΔH_f (0 K) (eV/atom): -0.59
SG: No. 225
E_tot (eV/cell): -60.78

a b c (Å): 7.246 7.246 7.246
angles (deg): 90.00 90.00 90.00
Positions (direct):
Y 0.000 0.000 0.000
Y 0.000 0.500 0.500
Y 0.500 0.000 0.500
Y 0.500 0.500 0.000
Lu 0.000 0.000 0.500
Lu 0.000 0.500 0.000
Lu 0.500 0.000 0.000
Lu 0.500 0.500 0.500
Hg 0.250 0.250 0.250
Hg 0.250 0.250 0.750
Hg 0.250 0.750 0.250
Hg 0.250 0.750 0.750
Hg 0.750 0.250 0.250
Hg 0.750 0.250 0.750
Hg 0.750 0.750 0.250
Hg 0.750 0.750 0.750

Record 6
The following is a GGA-PBEsol calculation of a relaxed Cu2AsSe crystal, from Alexandria.

Magnetization (μB per cell): 0.00
Mass density (Mg/m³): 7.41
SG: No. 65
E_tot (eV/cell): -33.00

a b c (Å): 3.461 5.011 7.261
angles (deg): 90.00 90.00 90.00
Positions (direct):
Cu 0.000 0.000 0.245
Cu 0.000 0.000 0.755
Cu 0.500 0.500 0.245
Cu 0.500 0.500 0.755
As 0.000 0.500 0.000
As 0.500 0.000 0.000
Se 0.000 0.500 0.500
Se 0.500 0.000 0.500